Entry 1:
The following is a DFT calculation (GGA-PBE) of a relaxed structure of La2DyThSb4.

```
8
Lattice="7.832 0.000 0.000 0.000 4.538 0.000 -2.621 0.000 7.427" Properties=species:S:1:pos:R:3 pbc="T T T"
La 0.000 0.000 0.000
La 3.916 2.269 0.000
Dy -1.311 2.269 3.714
Th 2.605 0.000 3.714
Sb -0.032 0.000 5.485
Sb 1.276 2.269 1.922
Sb 3.935 2.269 5.505
Sb 5.242 0.000 1.942
```

Properties
symmetry = P2/m, No. 10



Entry 2:
The following is a DFT calculation (GGA-PBE) of a relaxed structure of LaDyTm2Sb4.

```
16
Lattice="6.263 0.000 0.000 0.000 6.263 0.000 0.000 0.000 12.510" Properties=species:S:1:pos:R:3 pbc="T T T"
La 0.000 0.000 0.000
La 3.132 3.132 6.255
Dy 0.000 0.000 6.255
Dy 3.132 3.132 0.000
Tm 0.000 3.132 3.128
Tm 0.000 3.132 9.383
Tm 3.132 0.000 3.128
Tm 3.132 0.000 9.383
Sb 0.000 0.000 3.187
Sb 0.000 0.000 9.323
Sb 0.000 3.132 0.000
Sb 0.000 3.132 6.255
Sb 3.132 0.000 0.000
Sb 3.132 0.000 6.255
Sb 3.132 3.132 3.068
Sb 3.132 3.132 9.442
```

Properties
symmetry = I4/mmm, No. 139



Entry 3:
The following is a DFT calculation (GGA-PBE) of a relaxed structure of La2DyTmSb4.

```
8
Lattice="7.764 0.000 0.000 0.000 4.503 0.000 -2.610 0.000 7.346" Properties=species:S:1:pos:R:3 pbc="T T T"
La 0.000 0.000 0.000
La -1.305 2.252 3.673
Dy 2.577 0.000 3.673
Tm 3.882 2.252 0.000
Sb 1.393 2.252 1.861
Sb 0.088 0.000 5.558
Sb 5.067 0.000 1.787
Sb 3.762 2.252 5.485
```

Properties
symmetry = P2/m, No. 10



Entry 4:
The following is a DFT calculation (GGA-PBE) of a relaxed structure of LaDy2TmSb4.

```
8
Lattice="0.000 6.267 4.441 4.441 0.000 4.441 4.441 6.267 0.000" Properties=species:S:1:pos:R:3 pbc="T T T"
La 0.000 0.000 0.000
Dy 2.220 3.134 2.212
Dy 6.661 9.401 6.652
Tm 4.441 6.267 4.437
Sb 4.441 3.211 4.433
Sb 6.659 6.267 6.659
Sb 4.441 9.324 4.433
Sb 2.222 6.267 6.659
```

Properties
symmetry = Fmm2, No. 42



Values of energy relative to the elements, uncorrected, in order: -1.1660 -1.1091 -1.1828 -1.1331, all in eV per atom.
Values of calculated total energy, in order: -47.69 -87.67 -44.88 -44.16, all in eV for the cell shown.